# TiSbTe4, optimized geometry, DFT PBE-GGA
# - formation energy (no corrections) (eV per atom) = -0.3476
# - DOS(E_F) (states/eV/atom) = 0.446
# - uncorrected energy (eV per cell) = -26.670
# - M_tot (μB/atom) = 0.000
# - crystal system = triclinic
# - calculated density (g/cm3) = 6.044
data_TiSbTe4
_chemical_formula_sum 'Ti1 Sb1 Te4'
_symmetry_space_group_name_H-M 'P -1'
_symmetry_Int_Tables_number 2
_symmetry_space_group_name_Hall '-P 1'
_cell_length_a 3.892
_cell_length_b 7.414
_cell_length_c 7.570
_cell_angle_alpha 63.20
_cell_angle_beta 75.18
_cell_angle_gamma 89.98
loop_
_atom_site_label
_atom_site_type_symbol
_atom_site_fract_x
_atom_site_fract_y
_atom_site_fract_z
_atom_site_occupancy
Ti1 Ti 0.000 0.000 0.000 1
Sb1 Sb 0.500 0.500 0.000 1
Te1 Te 0.133 0.829 0.732 1
Te2 Te 0.374 0.726 0.253 1